(1)
DFT (PBE) results for an optimized crystal structure of Cs2Pu3Te6.

Output
Calculated density (g/cm³): 6.08
Total magnetization (μB per formula unit): 14.000
VASP energy (eV per atom): -6.833
E_form (uncorrected) (eV/atom): -1.056

Cell: 7.8206 13.5476 9.4572 Å, 90.00 106.03 90.00°
Space group C2/m (No. 12)
Unique sites:
Cs (0.0000, 0.1666, 0.0000) x4
Pu (0.0000, 0.0000, 0.5000) x2
Pu (0.0000, 0.3331, 0.5000) x4
Te (0.2275, 0.5000, 0.6853) x4
Te (0.2292, 0.1662, 0.6858) x8

(2)
DFT (PBE) results for an optimized crystal structure of CsPu4Te6.

Output
Calculated density (g/cm³): 7.83
Total magnetization (μB per formula unit): 21.000
VASP energy (eV per atom): -8.045
E_form (uncorrected) (eV/atom): -1.042

Cell: 4.5121 14.9245 23.6105 Å, 90.00 90.00 90.00°
Space group Cmcm (No. 63)
Unique sites:
Cs (0.0000, 0.1674, 0.2500) x4
Pu (0.0000, 0.0934, 0.6253) x8
Pu (0.0000, 0.3631, 0.5393) x8
Te (0.0000, 0.0000, 0.0000) x4
Te (0.0000, 0.1320, 0.7500) x4
Te (0.0000, 0.2704, 0.0817) x8
Te (0.0000, 0.4618, 0.6513) x8

(3)
DFT (PBE) results for an optimized crystal structure of CsPuTlTe3.

Output
Calculated density (g/cm³): 6.42
Total magnetization (μB per formula unit): 4.412
VASP energy (eV per atom): -5.287
E_form (uncorrected) (eV/atom): -0.791

Cell: 10.4186 4.5165 11.0087 Å, 90.00 105.62 90.00°
Space group P2_1/m (No. 11)
Unique sites:
Cs (0.1894, 0.2500, 0.2305) x2
Pu (0.3513, 0.7500, 0.8488) x2
Tl (0.1204, 0.2500, 0.5602) x2
Te (0.1437, 0.2500, 0.8452) x2
Te (0.3270, 0.7500, 0.5664) x2
Te (0.4441, 0.7500, 0.1383) x2

(4)
DFT (PBE) results for an optimized crystal structure of Cs3TmPu3Te8.

Output
Calculated density (g/cm³): 6.02
Total magnetization (μB per formula unit): 14.000
VASP energy (eV per atom): -6.135
E_form (uncorrected) (eV/atom): -1.124

Cell: 9.0340 9.0340 27.1590 Å, 90.00 90.00 120.00°
Space group R-3m (No. 166, hexagonal axes)
Unique sites:
Cs (0.0000, 0.5000, 0.0000) x9
Tm (0.0000, 0.0000, 0.5000) x3
Pu (0.0000, 0.5000, 0.5000) x9
Te (0.0000, 0.0000, 0.2295) x6
Te (0.0027, 0.5013, 0.2286) x18

(5)
DFT (PBE) results for an optimized crystal structure of Cs3TmPu2Te6.

Output
Calculated density (g/cm³): 6.20
Total magnetization (μB per formula unit): 10.000
VASP energy (eV per atom): -5.728
E_form (uncorrected) (eV/atom): -1.182

Cell: 7.9614 13.7911 9.2752 Å, 90.00 106.62 90.00°
Space group C2/m (No. 12)
Unique sites:
Cs (0.0000, 0.0000, 0.0000) x2
Cs (0.0000, 0.3323, 0.0000) x4
Tm (0.0000, 0.5000, 0.5000) x2
Pu (0.0000, 0.1666, 0.5000) x4
Te (0.2265, 0.3363, 0.6885) x8
Te (0.2356, 0.0000, 0.6889) x4

(6)
DFT (PBE) results for an optimized crystal structure of Cs3Tm2PuTe6.

Output
Calculated density (g/cm³): 6.02
Total magnetization (μB per formula unit): 5.000
VASP energy (eV per atom): -4.986
E_form (uncorrected) (eV/atom): -1.262

Cell: 7.9089 13.6994 9.2702 Å, 90.00 106.53 90.00°
Space group C2/m (No. 12)
Unique sites:
Cs (0.0000, 0.0000, 0.0000) x2
Cs (0.0000, 0.3347, 0.0000) x4
Tm (0.0000, 0.1668, 0.5000) x4
Pu (0.0000, 0.5000, 0.5000) x2
Te (0.2218, 0.0000, 0.6875) x4
Te (0.2330, 0.3297, 0.6879) x8